[1]
The following is a DFT calculation (PBE-GGA) of Ca2ErMg3 after structural relaxation.

Values from the calculation:
- Formation energy from the elements: -67.6 meV/atom
- Spin magnetization: 0.01 μB per atom
- Mass density: 3.0 g cm⁻³

a = 3.8272 Å, b = 3.8272 Å, c = 12.0941 Å
α = 90.00°, β = 90.00°, γ = 90.00°
Last column: nearest neighbours and their distance in Å.
Element x y z (fractional)
Mg 0.0000 0.0000 0.0000  8 Ca 3.43, 4 Mg 3.83
Mg 0.0000 0.0000 0.3461  4 Er 3.28, 4 Ca 3.42
Mg 0.0000 0.0000 0.6539  4 Er 3.28, 4 Ca 3.42
Ca 0.5000 0.5000 0.8262  8 Mg 3.42-3.43
Ca 0.5000 0.5000 0.1738  8 Mg 3.42-3.43
Er 0.5000 0.5000 0.5000  8 Mg 3.28

[2]
The following is a DFT calculation (PBE-GGA) of CaErMg after structural relaxation.

Values from the calculation:
- Formation energy from the elements: 97.4 meV/atom
- Relative energy among the computed polymorphs: 0.39 eV per formula unit
- Spin magnetization: 0.00 μB per atom
- Mass density: 4.2 g cm⁻³

a = 3.3814 Å, b = 5.6144 Å, c = 5.6144 Å
α = 120.00°, β = 90.00°, γ = 90.00°
Last column: nearest neighbours and their distance in Å.
Element x y z (fractional)
Mg 0.3688 0.3333 0.6667  3 Ca 3.35, 2 Mg 3.38, 3 Er 3.46
Ca 0.6221 0.6667 0.3333  3 Mg 3.35, 2 Ca 3.38, 3 Er 3.50
Er 0.0091 0.0000 0.0000  2 Er 3.38, 3 Mg 3.46, 3 Ca 3.50

[3]
The following is a DFT calculation (PBE-GGA) of CaEr2Mg after structural relaxation.

Values from the calculation:
- Formation energy from the elements: 104.9 meV/atom
- Relative energy among the computed polymorphs: 0.24 eV per formula unit
- Spin magnetization: 0.00 μB per atom
- Mass density: 5.5 g cm⁻³

a = 5.5412 Å, b = 5.5412 Å, c = 5.5412 Å
α = 60.00°, β = 60.00°, γ = 60.00°
Last column: nearest neighbours and their distance in Å.
Element x y z (fractional)
Mg 0.5000 0.5000 0.5000  8 Er 3.39
Ca 0.0000 0.0000 0.0000  8 Er 3.39
Er 0.2500 0.2500 0.2500  4 Ca 3.39, 4 Mg 3.39
Er 0.7500 0.7500 0.7500  4 Mg 3.39, 4 Ca 3.39

[4]
The following is a DFT calculation (PBE-GGA) of CaEr2Mg6 after structural relaxation.

Values from the calculation:
- Formation energy from the elements: -42.3 meV/atom
- Spin magnetization: 0.00 μB per atom
- Mass density: 3.6 g cm⁻³

a = 3.3740 Å, b = 9.0561 Å, c = 9.0561 Å
α = 59.99°, β = 90.00°, γ = 90.00°
Last column: nearest neighbours and their distance in Å.
Element x y z (fractional)
Er 0.0000 0.6667 0.6667  2 Er 3.37, 12 Mg 3.44
Er 0.0000 0.3333 0.3333  2 Er 3.37, 12 Mg 3.44
Mg 0.4987 0.6623 0.0000  3 Mg 2.94-3.06
Mg 0.5013 0.0000 0.3377  3 Mg 2.94-3.06
Mg 0.4987 0.0000 0.6623  3 Mg 2.94-3.06
Mg 0.5000 0.3377 0.6623  3 Mg 2.94-3.06
Mg 0.5000 0.6623 0.3377  3 Mg 2.94-3.06
Mg 0.5013 0.3377 0.0000  3 Mg 2.94-3.06
Ca 0.0000 0.0000 0.0000  2 Ca 3.37, 12 Mg 3.49

[5]
The following is a DFT calculation (PBE-GGA) of Ca2ErMg after structural relaxation.

Values from the calculation:
- Formation energy from the elements: 85.1 meV/atom
- Relative energy among the computed polymorphs: 0.00 eV per formula unit
- Spin magnetization: 0.00 μB per atom
- Mass density: 3.4 g cm⁻³

a = 5.2937 Å, b = 5.0139 Å, c = 5.0139 Å
α = 90.00°, β = 90.00°, γ = 90.00°
Last column: nearest neighbours and their distance in Å.
Element x y z (fractional)
Ca 0.0000 0.5000 0.0000  4 Ca 3.55, 4 Er 3.65, 4 Mg 3.65
Ca 0.0000 0.0000 0.5000  4 Ca 3.55, 4 Er 3.65, 4 Mg 3.65
Mg 0.5000 0.0000 0.0000  4 Er 3.55, 8 Ca 3.65
Er 0.5000 0.5000 0.5000  4 Mg 3.55, 8 Ca 3.65

[6]
The following is a DFT calculation (PBE-GGA) of CaEr2Mg9 after structural relaxation.

Values from the calculation:
- Formation energy from the elements: -38.2 meV/atom
- Spin magnetization: 0.00 μB per atom
- Mass density: 3.1 g cm⁻³

a = 6.0633 Å, b = 6.0633 Å, c = 10.4353 Å
α = 73.11°, β = 73.11°, γ = 60.00°
Last column: nearest neighbours and their distance in Å.
Element x y z (fractional)
Mg 0.6657 0.6657 0.0028  6 Mg 3.06-3.08
Mg 0.5882 0.0803 0.7433  7 Mg 2.98-3.08
Mg 0.3343 0.3343 0.9972  6 Mg 3.06-3.08
Mg 0.4118 0.9197 0.2567  7 Mg 2.98-3.08
Mg 0.5882 0.5882 0.7433  7 Mg 2.98-3.08
Mg 0.4118 0.4118 0.2567  7 Mg 2.98-3.08
Mg 0.5000 0.5000 0.5000  6 Mg 2.98
Mg 0.0803 0.5882 0.7433  7 Mg 2.98-3.08
Mg 0.9197 0.4118 0.2567  7 Mg 2.98-3.08
Ca 0.0000 0.0000 0.0000  6 Mg 3.50
Er 0.8526 0.8526 0.4423  12 Mg 3.42-3.55, 3 Er 3.68
Er 0.1474 0.1474 0.5577  12 Mg 3.42-3.55, 3 Er 3.68

[7]
The following is a DFT calculation (PBE-GGA) of Ca2ErMg after structural relaxation.

Values from the calculation:
- Formation energy from the elements: 84.2 meV/atom
- Relative energy among the computed polymorphs: 0.00 eV per formula unit
- Spin magnetization: 0.00 μB per atom
- Mass density: 3.4 g cm⁻³

a = 4.1624 Å, b = 4.1624 Å, c = 7.6488 Å
α = 90.00°, β = 90.00°, γ = 90.00°
Last column: nearest neighbours and their distance in Å.
Element x y z (fractional)
Ca 0.0000 0.0000 0.2383  4 Mg 3.46, 4 Er 3.56, 1 Ca 3.65
Ca 0.0000 0.0000 0.7617  4 Mg 3.46, 4 Er 3.56, 1 Ca 3.65
Mg 0.5000 0.5000 0.0000  8 Ca 3.46, 2 Er 3.82
Er 0.5000 0.5000 0.5000  8 Ca 3.56, 2 Mg 3.82

[8]
The following is a DFT calculation (PBE-GGA) of Ca3ErMg4 after structural relaxation.

Values from the calculation:
- Formation energy from the elements: -70.7 meV/atom
- Spin magnetization: 0.01 μB per atom
- Mass density: 2.7 g cm⁻³

a = 3.8412 Å, b = 3.8412 Å, c = 16.2583 Å
α = 90.00°, β = 90.00°, γ = 90.00°
Last column: nearest neighbours and their distance in Å.
Element x y z (fractional)
Mg 0.0000 0.0000 0.3698  8 Ca 3.43-3.44, 4 Mg 3.84
Mg 0.0000 0.0000 0.8870  4 Er 3.28, 4 Ca 3.42
Mg 0.0000 0.0000 0.1130  4 Er 3.28, 4 Ca 3.42
Mg 0.0000 0.0000 0.6302  8 Ca 3.43-3.44, 4 Mg 3.84
Ca 0.5000 0.5000 0.7594  8 Mg 3.42-3.43
Ca 0.5000 0.5000 0.2406  8 Mg 3.42-3.43
Ca 0.5000 0.5000 0.5000  8 Mg 3.44, 4 Ca 3.84
Er 0.5000 0.5000 0.0000  8 Mg 3.28

[9]
The following is a DFT calculation (PBE-GGA) of CaEr2Mg after structural relaxation.

Values from the calculation:
- Formation energy from the elements: 109.5 meV/atom
- Relative energy among the computed polymorphs: 0.26 eV per formula unit
- Spin magnetization: 0.00 μB per atom
- Mass density: 5.4 g cm⁻³

a = 5.0868 Å, b = 4.9298 Å, c = 4.9298 Å
α = 90.00°, β = 90.00°, γ = 90.00°
Last column: nearest neighbours and their distance in Å.
Element x y z (fractional)
Er 0.0000 0.5000 0.0000  4 Er 3.49, 4 Ca 3.54, 4 Mg 3.54
Er 0.0000 0.0000 0.5000  4 Er 3.49, 4 Ca 3.54, 4 Mg 3.54
Ca 0.5000 0.5000 0.5000  4 Mg 3.49, 8 Er 3.54
Mg 0.5000 0.0000 0.0000  4 Ca 3.49, 8 Er 3.54

[10]
The following is a DFT calculation (PBE-GGA) of Ca2ErMg after structural relaxation.

Values from the calculation:
- Formation energy from the elements: 97.2 meV/atom
- Relative energy among the computed polymorphs: 0.05 eV per formula unit
- Spin magnetization: 0.15 μB per atom
- Mass density: 3.3 g cm⁻³

a = 3.6655 Å, b = 3.6655 Å, c = 11.8486 Å
α = 81.10°, β = 81.10°, γ = 60.00°
Last column: nearest neighbours and their distance in Å.
Element x y z (fractional)
Mg 0.6664 0.6664 0.0007  6 Ca 3.51-3.52, 6 Mg 3.67
Er 0.5003 0.5003 0.4992  6 Er 3.67, 6 Ca 3.68-3.70
Ca 0.2532 0.2532 0.2405  3 Mg 3.51, 6 Ca 3.67, 3 Er 3.68
Ca 0.0801 0.0801 0.7596  3 Mg 3.52, 6 Ca 3.67, 3 Er 3.70

[11]
The following is a DFT calculation (PBE-GGA) of CaEr2Mg after structural relaxation.

Values from the calculation:
- Formation energy from the elements: 221.5 meV/atom
- Relative energy among the computed polymorphs: 0.71 eV per formula unit
- Spin magnetization: 0.08 μB per atom
- Mass density: 5.2 g cm⁻³

a = 3.4922 Å, b = 3.4922 Å, c = 12.2696 Å
α = 81.82°, β = 81.82°, γ = 60.00°
Last column: nearest neighbours and their distance in Å.
Element x y z (fractional)
Er 0.0939 0.0939 0.7183  3 Mg 3.32, 1 Ca 3.41, 6 Er 3.49
Er 0.9061 0.9061 0.2817  3 Mg 3.32, 1 Ca 3.41, 6 Er 3.49
Mg 0.5000 0.5000 0.5000  6 Er 3.32, 6 Mg 3.49
Ca 0.0000 0.0000 0.0000  2 Er 3.41, 6 Ca 3.49

[12]
The following is a DFT calculation (PBE-GGA) of Ca5ErMg4 after structural relaxation.

Values from the calculation:
- Formation energy from the elements: -12.1 meV/atom
- Spin magnetization: 0.09 μB per atom
- Mass density: 2.4 g cm⁻³

a = 3.7522 Å, b = 3.7522 Å, c = 22.8294 Å
α = 90.00°, β = 90.00°, γ = 90.00°
Last column: nearest neighbours and their distance in Å.
Element x y z (fractional)
Er 0.0000 0.0000 0.0000  8 Ca 3.73, 4 Er 3.75
Ca 0.5000 0.5000 0.1150  4 Mg 3.46, 4 Er 3.73, 4 Ca 3.75
Ca 0.5000 0.5000 0.8850  4 Mg 3.46, 4 Er 3.73, 4 Ca 3.75
Ca 0.5000 0.5000 0.6917  8 Mg 3.44, 4 Ca 3.75
Ca 0.5000 0.5000 0.5000  8 Mg 3.44, 4 Ca 3.75
Ca 0.5000 0.5000 0.3083  8 Mg 3.44, 4 Ca 3.75
Mg 0.0000 0.0000 0.5961  8 Ca 3.44, 4 Mg 3.75
Mg 0.0000 0.0000 0.7880  8 Ca 3.44-3.46, 4 Mg 3.75
Mg 0.0000 0.0000 0.4039  8 Ca 3.44, 4 Mg 3.75
Mg 0.0000 0.0000 0.2120  8 Ca 3.44-3.46, 4 Mg 3.75

[13]
The following is a DFT calculation (PBE-GGA) of Ca5ErMg6 after structural relaxation.

Values from the calculation:
- Formation energy from the elements: -72.5 meV/atom
- Spin magnetization: 0.00 μB per atom
- Mass density: 2.3 g cm⁻³

a = 5.5923 Å, b = 7.7663 Å, c = 9.6242 Å
α = 66.18°, β = 73.54°, γ = 89.99°
Last column: nearest neighbours and their distance in Å.
Element x y z (fractional)
Er 0.0000 0.0000 0.0000  8 Mg 3.32-3.34
Ca 0.3343 0.3349 0.3300  8 Mg 3.43-3.45
Ca 0.6657 0.6651 0.6700  8 Mg 3.43-3.45
Ca 0.0000 0.5000 0.0000  8 Mg 3.39-3.47
Ca 0.3312 0.8322 0.3356  8 Mg 3.35-3.47
Ca 0.6688 0.1678 0.6644  8 Mg 3.35-3.47
Mg 0.8355 0.0788 0.3264  1 Er 3.32, 7 Ca 3.37-3.47
Mg 0.5000 0.7650 0.9999  2 Er 3.34, 6 Ca 3.35-3.47, 1 Mg 3.65
Mg 0.8356 0.5945 0.3264  1 Er 3.32, 7 Ca 3.37-3.47
Mg 0.1644 0.4055 0.6736  1 Er 3.32, 7 Ca 3.37-3.47
Mg 0.5000 0.2350 0.0001  2 Er 3.34, 6 Ca 3.35-3.47, 1 Mg 3.65
Mg 0.1645 0.9212 0.6736  1 Er 3.32, 7 Ca 3.37-3.47

[14]
The following is a DFT calculation (PBE-GGA) of CaEr5Mg4 after structural relaxation.

Values from the calculation:
- Formation energy from the elements: -19.3 meV/atom
- Spin magnetization: 0.00 μB per atom
- Mass density: 5.7 g cm⁻³

a = 3.7643 Å, b = 3.7643 Å, c = 20.1375 Å
α = 90.00°, β = 90.00°, γ = 90.00°
Last column: nearest neighbours and their distance in Å.
Element x y z (fractional)
Er 0.5000 0.5000 0.6867  8 Mg 3.23-3.26
Er 0.5000 0.5000 0.8684  4 Mg 3.23
Er 0.5000 0.5000 0.3133  8 Mg 3.23-3.26
Er 0.5000 0.5000 0.1316  4 Mg 3.23
Er 0.5000 0.5000 0.5000  8 Mg 3.26
Mg 0.0000 0.0000 0.4066  8 Er 3.26
Mg 0.0000 0.0000 0.7776  8 Er 3.23
Mg 0.0000 0.0000 0.5934  8 Er 3.26
Mg 0.0000 0.0000 0.2224  8 Er 3.23
Ca 0.0000 0.0000 0.0000  8 Er 3.76, 4 Ca 3.76

[15]
The following is a DFT calculation (PBE-GGA) of CaErMg after structural relaxation.

Values from the calculation:
- Formation energy from the elements: -32.0 meV/atom
- Relative energy among the computed polymorphs: 0.00 eV per formula unit
- Spin magnetization: 0.00 μB per atom
- Mass density: 4.1 g cm⁻³

a = 3.7171 Å, b = 3.7171 Å, c = 13.5524 Å
α = 90.00°, β = 90.00°, γ = 90.00°
Last column: nearest neighbours and their distance in Å.
Element x y z (fractional)
Er 0.0000 0.5000 0.5836  4 Mg 3.29, 4 Er 3.47
Er 0.5000 0.0000 0.4164  4 Mg 3.29, 4 Er 3.47
Mg 0.0000 0.5000 0.2699  4 Er 3.29, 4 Ca 3.41
Mg 0.5000 0.0000 0.7301  4 Er 3.29, 4 Ca 3.41
Ca 0.0000 0.5000 0.8909  4 Mg 3.41, 4 Ca 3.72
Ca 0.5000 0.0000 0.1091  4 Mg 3.41, 4 Ca 3.72

[16]
The following is a DFT calculation (PBE-GGA) of Ca2ErMg6 after structural relaxation.

Values from the calculation:
- Formation energy from the elements: -41.9 meV/atom
- Spin magnetization: 0.00 μB per atom
- Mass density: 2.6 g cm⁻³

a = 3.4749 Å, b = 9.1214 Å, c = 9.1214 Å
α = 59.99°, β = 89.99°, γ = 89.99°
Last column: nearest neighbours and their distance in Å.
Element x y z (fractional)
Mg 0.5000 0.6717 0.3283  3 Mg 2.99-3.13
Mg 0.4990 0.0000 0.6717  3 Mg 2.99-3.13
Mg 0.5010 0.3283 0.0000  3 Mg 2.99-3.13
Mg 0.5010 0.0000 0.3283  3 Mg 2.99-3.13
Mg 0.4990 0.6717 0.0000  3 Mg 2.99-3.13
Mg 0.5000 0.3283 0.6717  3 Mg 2.99-3.13
Er 0.0000 0.0000 0.0000  12 Mg 3.46, 2 Er 3.47
Ca 0.0000 0.6667 0.6667  2 Ca 3.47, 12 Mg 3.52
Ca 0.0000 0.3333 0.3333  2 Ca 3.47, 12 Mg 3.52

[17]
The following is a DFT calculation (PBE-GGA) of CaEr2Mg5 after structural relaxation.

Values from the calculation:
- Formation energy from the elements: -43.3 meV/atom
- Spin magnetization: 0.01 μB per atom
- Mass density: 3.9 g cm⁻³

a = 5.3200 Å, b = 5.3200 Å, c = 8.4022 Å
α = 108.46°, β = 108.46°, γ = 90.00°
Last column: nearest neighbours and their distance in Å.
Element x y z (fractional)
Ca 0.0000 0.0000 0.0000  8 Mg 3.24
Mg 0.3771 0.8771 0.7543  4 Er 3.21-3.34, 2 Mg 3.24, 2 Ca 3.24
Mg 0.5000 0.5000 0.0000  8 Mg 3.24
Mg 0.1229 0.6229 0.2457  4 Er 3.21-3.34, 2 Ca 3.24, 2 Mg 3.24
Mg 0.6229 0.1229 0.2457  4 Er 3.21-3.34, 2 Mg 3.24, 2 Ca 3.24
Mg 0.8771 0.3771 0.7543  4 Er 3.21-3.34, 2 Ca 3.24, 2 Mg 3.24
Er 0.7424 0.7424 0.4848  8 Mg 3.21-3.34
Er 0.2576 0.2576 0.5152  8 Mg 3.21-3.34

[18]
The following is a DFT calculation (PBE-GGA) of CaEr3Mg12 after structural relaxation.

Values from the calculation:
- Formation energy from the elements: -44.3 meV/atom
- Spin magnetization: 0.00 μB per atom
- Mass density: 3.4 g cm⁻³

a = 4.6493 Å, b = 4.6493 Å, c = 18.9059 Å
α = 90.00°, β = 90.00°, γ = 90.00°
Last column: nearest neighbours and their distance in Å.
Element x y z (fractional)
Er 0.0000 0.0000 0.7472  12 Mg 3.29
Er 0.0000 0.0000 0.5000  12 Mg 3.29-3.30
Er 0.0000 0.0000 0.2528  12 Mg 3.29
Mg 0.0000 0.5000 0.1299  8 Mg 3.28-3.38, 2 Er 3.29, 2 Ca 3.38
Mg 0.5000 0.5000 0.2521  8 Mg 3.28-3.30, 4 Er 3.29
Mg 0.5000 0.5000 0.0000  4 Ca 3.29, 8 Mg 3.38
Mg 0.5000 0.0000 0.3762  8 Mg 3.29-3.30, 4 Er 3.29-3.30
Mg 0.5000 0.0000 0.8701  8 Mg 3.28-3.38, 2 Er 3.29, 2 Ca 3.38
Mg 0.0000 0.5000 0.6238  8 Mg 3.29-3.30, 4 Er 3.29-3.30
Mg 0.5000 0.0000 0.6238  8 Mg 3.29-3.30, 4 Er 3.29-3.30
Mg 0.5000 0.5000 0.7479  8 Mg 3.28-3.30, 4 Er 3.29
Mg 0.0000 0.5000 0.8701  8 Mg 3.28-3.38, 2 Er 3.29, 2 Ca 3.38
Mg 0.0000 0.5000 0.3762  8 Mg 3.29-3.30, 4 Er 3.29-3.30
Mg 0.5000 0.0000 0.1299  8 Mg 3.28-3.38, 2 Er 3.29, 2 Ca 3.38
Mg 0.5000 0.5000 0.5000  4 Er 3.29, 8 Mg 3.30
Ca 0.0000 0.0000 0.0000  12 Mg 3.29-3.38

[19]
The following is a DFT calculation (PBE-GGA) of CaErMg after structural relaxation.

Values from the calculation:
- Formation energy from the elements: 21.6 meV/atom
- Relative energy among the computed polymorphs: 0.16 eV per formula unit
- Spin magnetization: 0.06 μB per atom
- Mass density: 4.1 g cm⁻³

a = 3.7121 Å, b = 3.7121 Å, c = 7.2854 Å
α = 104.76°, β = 104.76°, γ = 90.00°
Last column: nearest neighbours and their distance in Å.
Element x y z (fractional)
Er 0.3145 0.3145 0.6290  4 Mg 3.25
Ca 0.0126 0.0126 0.0251  4 Mg 3.41, 4 Ca 3.71, 4 Er 3.76
Mg 0.6729 0.6729 0.3458  4 Er 3.25, 4 Ca 3.41

[20]
The following is a DFT calculation (PBE-GGA) of Ca2ErMg9 after structural relaxation.

Values from the calculation:
- Formation energy from the elements: -35.1 meV/atom
- Spin magnetization: 0.00 μB per atom
- Mass density: 2.4 g cm⁻³

a = 6.1066 Å, b = 6.1066 Å, c = 10.4701 Å
α = 73.04°, β = 73.04°, γ = 60.00°
Last column: nearest neighbours and their distance in Å.
Element x y z (fractional)
Ca 0.1416 0.1416 0.5753  12 Mg 3.52-3.69, 3 Ca 3.83
Ca 0.8584 0.8584 0.4247  12 Mg 3.52-3.69, 3 Ca 3.83
Mg 0.3336 0.3336 0.9992  6 Mg 3.00
Mg 0.6664 0.6664 0.0008  6 Mg 3.00
Mg 0.0796 0.5833 0.7538  7 Mg 3.00-3.08
Mg 0.4167 0.4167 0.2462  7 Mg 3.00-3.08
Mg 0.5000 0.5000 0.5000  6 Mg 3.07
Mg 0.9204 0.4167 0.2462  7 Mg 3.00-3.08
Mg 0.5833 0.5833 0.7538  7 Mg 3.00-3.08
Mg 0.5833 0.0796 0.7538  7 Mg 3.00-3.08
Mg 0.4167 0.9204 0.2462  7 Mg 3.00-3.08
Er 0.0000 0.0000 0.0000  18 Mg 3.53-3.90